Entry from Alexandria: an optimized crystal structure of Ba5LiIr (PBE).

Properties
E_form in eV/atom: -0.05
E_tot in eV/atom: -2.9630
Symmetry: C2/c (15)

abc: 8.4464 8.4464 12.6889
angles: 109.65 109.65 59.85
With the nearest neighbours (Å) after each atom.
Fractional coordinates of all 14 atoms:
Ba 0.0181 0.3667 0.6245  1 Ir 3.02
Ba 0.0554 0.9446 0.7500  2 Ir 3.21
Ba 0.1946 0.5816 0.9815  1 Ir 3.02
Ba 0.3667 0.0181 0.1245  1 Ir 3.02
Ba 0.4184 0.8054 0.5185  1 Ir 3.02
Ba 0.5816 0.1946 0.4815  1 Ir 3.02
Ba 0.6333 0.9819 0.8755  1 Ir 3.02
Ba 0.8054 0.4184 0.0185  1 Ir 3.02
Ba 0.9446 0.0554 0.2500  2 Ir 3.21
Ba 0.9819 0.6333 0.3755  1 Ir 3.02
Li 0.4977 0.5023 0.7500  3 Ba 3.56-3.73
Li 0.5023 0.4977 0.2500  3 Ba 3.56-3.73
Ir 0.0000 0.0000 0.0000  6 Ba 3.02-3.21
Ir 0.0000 0.0000 0.5000  6 Ba 3.02-3.21



Entry from Alexandria: an optimized crystal structure of Ba2LiIr (PBE).

Properties
E_form in eV/atom: 0.24
E_tot in eV/atom: -3.4160
Symmetry: I-4m2 (119)

abc: 6.0925 6.0925 6.0925
angles: 133.77 133.77 67.44
With the nearest neighbours (Å) after each atom.
Fractional coordinates of all 4 atoms:
Ba 0.0000 0.0000 0.0000  4 Li 3.38, 4 Ba 3.48, 4 Ir 3.48
Ba 0.7500 0.2500 0.5000  4 Ir 3.38, 4 Ba 3.48, 4 Li 3.48
Li 0.5000 0.5000 0.0000  8 Ba 3.38-3.48, 4 Ir 3.48
Ir 0.2500 0.7500 0.5000  8 Ba 3.38-3.48, 4 Li 3.48



Entry from Alexandria: an optimized crystal structure of BaLiIr3 (PBE).

Properties
E_form in eV/atom: 2.44
E_tot in eV/atom: -3.6401
Symmetry: Pm-3m (221)

abc: 5.1976 5.1976 5.1976
angles: 90.00 90.00 90.00
With the nearest neighbours (Å) after each atom.
Fractional coordinates of all 5 atoms:
Ba 0.0000 0.0000 0.0000  6 Ir 2.60
Li 0.5000 0.5000 0.5000  12 Ir 3.68
Ir 0.0000 0.0000 0.5000  2 Ba 2.60
Ir 0.0000 0.5000 0.0000  2 Ba 2.60
Ir 0.5000 0.0000 0.0000  2 Ba 2.60



Entry from Alexandria: an optimized crystal structure of BaLiIr (PBE).

Properties
E_form in eV/atom: 0.65
E_tot in eV/atom: -3.5813
Symmetry: F-43m (216)

abc: 4.9039 4.9039 4.9039
angles: 60.00 60.00 60.00
With the nearest neighbours (Å) after each atom.
Fractional coordinates of all 3 atoms:
Ba 0.0000 0.0000 0.0000  4 Li 3.00, 4 Ir 3.00
Li 0.7500 0.7500 0.7500  4 Ba 3.00
Ir 0.2500 0.2500 0.2500  4 Ba 3.00



Entry from Alexandria: an optimized crystal structure of Ba2LiIr (PBE).

Properties
E_form in eV/atom: 0.06
E_tot in eV/atom: -3.5942
Symmetry: Imm2 (44)

abc: 7.1701 7.1701 7.1701
angles: 148.57 135.40 55.58
With the nearest neighbours (Å) after each atom.
Fractional coordinates of all 4 atoms:
Ba 0.0000 0.0000 0.0000  2 Ir 3.11
Ba 0.6934 0.1934 0.5000  2 Li 3.27, 4 Ir 3.34
Li 0.3358 0.3358 0.0000  2 Ir 2.67
Ir 0.1914 0.6914 0.5000  2 Li 2.67



Entry from Alexandria: an optimized crystal structure of Ba2LiIr (PBE).

Properties
E_form in eV/atom: 0.14
E_tot in eV/atom: -3.5125
Symmetry: P4mm (99)

abc: 3.7923 3.7923 8.8626
angles: 90.00 90.00 90.00
With the nearest neighbours (Å) after each atom.
Fractional coordinates of all 4 atoms:
Ba 0.0000 0.0000 0.0000  1 Ir 2.91
Ba 0.5000 0.5000 0.4461  1 Li 2.79
Li 0.5000 0.5000 0.7615  1 Ba 2.79, 4 Ir 2.80
Ir 0.0000 0.0000 0.6721  4 Li 2.80, 1 Ba 2.91



Entry from Alexandria: an optimized crystal structure of Ba2LiIr (PBE).

Properties
E_form in eV/atom: 0.26
E_tot in eV/atom: -3.3993
Symmetry: F-43m (216)

abc: 5.3708 5.3708 5.3708
angles: 60.00 60.00 60.00
With the nearest neighbours (Å) after each atom.
Fractional coordinates of all 4 atoms:
Ba 0.0000 0.0000 0.0000  4 Ba 3.29, 4 Ir 3.29
Ba 0.2500 0.2500 0.2500  4 Ba 3.29, 4 Li 3.29
Li 0.5000 0.5000 0.5000  4 Ir 3.29, 4 Ba 3.29
Ir 0.7500 0.7500 0.7500  4 Li 3.29, 4 Ba 3.29



Entry from Alexandria: an optimized crystal structure of BaLiIr4 (PBE).

Properties
E_form in eV/atom: 0.12
E_tot in eV/atom: -6.4317
Symmetry: F-43m (216)

abc: 5.4290 5.4290 5.4290
angles: 60.00 60.00 60.00
With the nearest neighbours (Å) after each atom.
Fractional coordinates of all 6 atoms:
Ba 0.0000 0.0000 0.0000  12 Ir 3.18, 4 Li 3.32
Li 0.2500 0.2500 0.2500  12 Ir 3.18, 4 Ba 3.32
Ir 0.1273 0.6242 0.6242  6 Ir 2.70-2.73
Ir 0.6242 0.1273 0.6242  6 Ir 2.70-2.73
Ir 0.6242 0.6242 0.1273  6 Ir 2.70-2.73
Ir 0.6242 0.6242 0.6242  6 Ir 2.70-2.73



Entry from Alexandria: an optimized crystal structure of BaLiIr (PBE).

Properties
E_form in eV/atom: 0.07
E_tot in eV/atom: -4.1620
Symmetry: P-6m2 (187)

abc: 4.4104 4.4104 4.3583
angles: 90.00 90.00 120.00
With the nearest neighbours (Å) after each atom.
Fractional coordinates of all 3 atoms:
Ba 0.0000 0.0000 0.0000  6 Ir 3.35, 6 Li 3.35
Li 0.3333 0.6667 0.5000  3 Ir 2.55
Ir 0.6667 0.3333 0.5000  3 Li 2.55



Entry from Alexandria: an optimized crystal structure of BaLiIr (PBE).

Properties
E_form in eV/atom: 0.15
E_tot in eV/atom: -4.0782
Symmetry: Imm2 (44)

abc: 5.8521 5.8521 5.8521
angles: 144.30 143.89 51.68
With the nearest neighbours (Å) after each atom.
Fractional coordinates of all 3 atoms:
Ba 0.0000 0.0000 0.0000  1 Li 2.84
Li 0.7306 0.7306 0.0000  4 Ir 2.67, 1 Ba 2.84
Ir 0.3055 0.3055 0.0000  4 Li 2.67



Entry from Alexandria: an optimized crystal structure of Ba4Li2Ir (PBE).

Properties
E_form in eV/atom: 0.01
E_tot in eV/atom: -2.9004
Symmetry: I4/mmm (139)

abc: 10.1493 10.1493 10.1493
angles: 144.83 144.83 50.59
With the nearest neighbours (Å) after each atom.
Fractional coordinates of all 7 atoms:
Ba 0.0000 0.5000 0.5000  2 Ir 3.07
Ba 0.1670 0.1670 0.0000  1 Ir 3.07
Ba 0.5000 0.0000 0.5000  2 Ir 3.07
Ba 0.8330 0.8330 0.0000  1 Ir 3.07
Li 0.3708 0.3708 0.0000  5 Ba 3.74-3.88
Li 0.6292 0.6292 0.0000  5 Ba 3.74-3.88
Ir 0.0000 0.0000 0.0000  6 Ba 3.07



Entry from Alexandria: an optimized crystal structure of BaLi2MgIr (PBE).

Properties
E_form in eV/atom: 0.90
E_tot in eV/atom: -2.3384
Symmetry: P4/mmm (123)

abc: 4.8002 4.8002 6.2172
angles: 90.00 90.00 90.00
With the nearest neighbours (Å) after each atom.
Fractional coordinates of all 5 atoms:
Ba 0.0000 0.0000 0.0000  2 Mg 3.11, 4 Ir 3.39
Li 0.0000 0.5000 0.5000  2 Mg 2.40
Li 0.5000 0.0000 0.5000  2 Mg 2.40
Mg 0.0000 0.0000 0.5000  4 Li 2.40
Ir 0.5000 0.5000 0.0000  4 Ba 3.39